Below is a relaxed NaCdWCl2 crystal, with properties calculated at the PBE level.

a = 4.727 Å, b = 5.693 Å, c = 4.727 Å
α = 90.00°, β = 90.00°, γ = 90.00°
Element x y z (fractional)
1 Na 0.500 0.500 0.500
2 Cl 0.000 0.000 0.500
3 Cl 0.500 0.000 0.000
4 W 0.000 0.000 0.000
5 Cd 0.000 0.500 0.000

Results
Its magnetization is 0.00 μB per formula unit. As for the uncorrected formation energy: 118 meV/atom. The symmetry is P4/mmm.

---

Below is a relaxed GdErBeOs crystal, with properties calculated at the PBE level.

a = 4.826 Å, b = 4.826 Å, c = 4.826 Å
α = 60.00°, β = 60.00°, γ = 60.00°
Each line ends with the local moment (μB).
Element x y z (fractional)
1 Be 0.000 0.000 0.000  -0.01
2 Gd 0.250 0.250 0.250  7.01
3 Os 0.500 0.500 0.500  -0.08
4 Er 0.750 0.750 0.750  0.01

Results
Its magnetization is 7.04 μB per formula unit. The symmetry is F-43m. The calculated formation energy comes out at -1.4 kcal/mol of atoms.